[1]
# As2Se (SCAN, PBEsol geometry)
data_As2Se
_space_group_name_H-M_alt 'P 1'
_space_group_IT_number 1
_space_group_name_Hall 'P 1'
_cell_length_a 4.5465
_cell_length_b 4.5465
_cell_length_c 4.5465
_cell_angle_alpha 60.00
_cell_angle_beta 60.00
_cell_angle_gamma 60.00
loop_
_atom_site_label
_atom_site_type_symbol
_atom_site_fract_x
_atom_site_fract_y
_atom_site_fract_z
As1 As 0.2500 0.2500 0.2500
As2 As 0.7500 0.7500 0.7500
Se1 Se 0.0000 0.0000 0.0000
# **Excess energy over the best structure of this formula in the dataset**: 635 meV/atom
# **N(E_F)**: 1.90 states/eV per cell
# **Formation energy (no corrections)**: 0.722 eV per atom
# **M_tot**: 0.000 μB/atom

***

[2]
# CaEr2Te4 (SCAN, PBEsol geometry)
data_CaEr2Te4
_space_group_name_H-M_alt 'P 1'
_space_group_IT_number 1
_space_group_name_Hall 'P 1'
_cell_length_a 7.3615
_cell_length_b 4.3004
_cell_length_c 7.6012
_cell_angle_alpha 90.00
_cell_angle_beta 107.86
_cell_angle_gamma 90.00
loop_
_atom_site_label
_atom_site_type_symbol
_atom_site_fract_x
_atom_site_fract_y
_atom_site_fract_z
Ca1 Ca 0.0000 0.0000 0.0000
Er1 Er 0.0000 0.5000 0.5000
Er2 Er 0.5000 0.0000 0.5000
Te1 Te 0.2479 0.0000 0.7394
Te2 Te 0.2623 0.5000 0.2548
Te3 Te 0.7377 0.5000 0.7452
Te4 Te 0.7521 0.0000 0.2606
# **Formation energy (no corrections)**: -1.598 eV per atom
# **M_tot**: 0.000 μB/atom

***

[3]
# Co2CCl (SCAN, PBEsol geometry)
data_Co2CCl
_space_group_name_H-M_alt 'P 1'
_space_group_IT_number 1
_space_group_name_Hall 'P 1'
_cell_length_a 5.7308
_cell_length_b 5.7308
_cell_length_c 5.7308
_cell_angle_alpha 133.24
_cell_angle_beta 133.24
_cell_angle_gamma 68.28
loop_
_atom_site_label
_atom_site_type_symbol
_atom_site_fract_x
_atom_site_fract_y
_atom_site_fract_z
Co1 Co 0.0436 0.6250 0.9186
Co2 Co 0.3750 0.2936 0.4186
Co3 Co 0.7064 0.1250 0.0814
Co4 Co 0.8750 0.9564 0.5814
C1 C 0.0000 0.0000 0.0000
C2 C 0.7500 0.2500 0.5000
Cl1 Cl 0.2500 0.7500 0.5000
Cl2 Cl 0.5000 0.5000 0.0000
# **N(E_F)**: 4.82 states/eV per cell
# **Formation energy (no corrections)**: 0.382 eV per atom
# **M_tot**: 0.540 μB/atom

***

[4]
# CoAgCl2 (SCAN, PBEsol geometry)
data_CoAgCl2
_space_group_name_H-M_alt 'P 1'
_space_group_IT_number 1
_space_group_name_Hall 'P 1'
_cell_length_a 3.3171
_cell_length_b 3.3171
_cell_length_c 7.7071
_cell_angle_alpha 90.00
_cell_angle_beta 90.00
_cell_angle_gamma 122.88
loop_
_atom_site_label
_atom_site_type_symbol
_atom_site_fract_x
_atom_site_fract_y
_atom_site_fract_z
Co1 Co 0.0000 0.0000 0.0000
Ag1 Ag 0.0000 0.0000 0.5000
Cl1 Cl 0.5000 0.5000 0.2150
Cl2 Cl 0.5000 0.5000 0.7850
# **N(E_F)**: 1.13 states/eV per cell
# **Formation energy (no corrections)**: -0.243 eV per atom
# **M_tot**: 0.521 μB/atom

***

[5]
# Sc2Be (SCAN, PBEsol geometry)
data_Sc2Be
_space_group_name_H-M_alt 'P 1'
_space_group_IT_number 1
_space_group_name_Hall 'P 1'
_cell_length_a 8.5188
_cell_length_b 8.5188
_cell_length_c 8.5188
_cell_angle_alpha 60.00
_cell_angle_beta 60.00
_cell_angle_gamma 60.00
loop_
_atom_site_label
_atom_site_type_symbol
_atom_site_fract_x
_atom_site_fract_y
_atom_site_fract_z
Sc1 Sc 0.0000 0.0000 0.0000
Sc2 Sc 0.0000 0.0000 0.5000
Sc3 Sc 0.0000 0.5000 0.0000
Sc4 Sc 0.1879 0.1879 0.5621
Sc5 Sc 0.1879 0.5621 0.1879
Sc6 Sc 0.1879 0.5621 0.5621
Sc7 Sc 0.4379 0.4379 0.8121
Sc8 Sc 0.4379 0.8121 0.4379
Sc9 Sc 0.4379 0.8121 0.8121
Sc10 Sc 0.5000 0.0000 0.0000
Sc11 Sc 0.5621 0.1879 0.1879
Sc12 Sc 0.5621 0.1879 0.5621
Sc13 Sc 0.5621 0.5621 0.1879
Sc14 Sc 0.8121 0.4379 0.4379
Sc15 Sc 0.8121 0.4379 0.8121
Sc16 Sc 0.8121 0.8121 0.4379
Be1 Be 0.1249 0.7917 0.7917
Be2 Be 0.2083 0.2083 0.2083
Be3 Be 0.2083 0.2083 0.8751
Be4 Be 0.2083 0.8751 0.2083
Be5 Be 0.7917 0.1249 0.7917
Be6 Be 0.7917 0.7917 0.1249
Be7 Be 0.7917 0.7917 0.7917
Be8 Be 0.8751 0.2083 0.2083
# **Calculated formation energy**: 0.0057 eV/atom
# **Excess energy over the best structure of this formula in the dataset**: 50 meV/atom
# **N(E_F)**: 15.15 states/eV per cell
# **M_tot**: 0.000 μB/atom

***

[6]
# SrMgHg2 (SCAN, PBEsol geometry)
data_SrMgHg2
_space_group_name_H-M_alt 'P 1'
_space_group_IT_number 1
_space_group_name_Hall 'P 1'
_cell_length_a 3.6255
_cell_length_b 3.6255
_cell_length_c 7.5568
_cell_angle_alpha 90.00
_cell_angle_beta 90.00
_cell_angle_gamma 90.00
loop_
_atom_site_label
_atom_site_type_symbol
_atom_site_fract_x
_atom_site_fract_y
_atom_site_fract_z
Sr1 Sr 0.0000 0.0000 0.0000
Mg1 Mg 0.0000 0.0000 0.5000
Hg1 Hg 0.5000 0.5000 0.2871
Hg2 Hg 0.5000 0.5000 0.7129
# **Calculated formation energy**: -0.5203 eV/atom
# **N(E_F)**: 2.01 states/eV per cell
# **M_tot**: 0.000 μB/atom